This record from Alexandria describes a geometry-optimized Pa4Cr6O19 structure. The functional is PBE+U.

Summary:
crystal system: cubic
SG: I23, No. 197
DOS(E_F): 0.00 states/eV per atom
total energy: -8.69 eV/atom

extended XYZ file:
```
29
Lattice="-4.460 4.460 4.460 4.460 -4.460 4.460 4.460 4.460 -4.460" Properties=species:S:1:pos:R:3 pbc="T T T"
Pa 1.374 1.374 -1.374
Pa 1.374 -1.374 1.374
Pa -1.374 1.374 1.374
Pa 3.086 3.086 3.086
Cr 4.460 1.418 0.000
Cr 4.460 0.000 3.041
Cr 3.041 4.460 0.000
Cr 1.418 0.000 4.460
Cr 0.000 4.460 1.418
Cr 0.000 3.041 4.460
O 0.000 0.000 0.000
O 2.865 0.000 0.000
O 6.054 0.000 0.000
O 4.954 -1.551 1.906
O 2.909 2.553 -0.494
O 2.553 -0.494 2.909
O 0.000 2.865 0.000
O 0.000 0.000 2.865
O 6.010 2.553 0.494
O 1.906 4.954 -1.551
O 3.965 1.551 1.906
O -0.494 2.909 2.553
O 1.906 3.965 1.551
O 1.551 1.906 3.965
O 0.000 6.054 0.000
O 0.000 0.000 6.054
O 2.553 0.494 6.010
O -1.551 1.906 4.954
O 0.494 6.010 2.553
```